# CoTePb2O6

An optimized crystal structure of CoTePb2O6 (PBE+U, the Open Quantum Materials Database).

a = 5.643 Å, b = 5.643 Å, c = 5.643 Å
α = 119.35°, β = 60.65°, γ = 119.35°
Site moments in Bohr magnetons follow the coordinates.
Fractional positions:
Co: 0.000 0.000 0.000  2.72
O: 0.737 0.691 0.210  0.04
O: 0.691 0.210 0.263  0.03
O: 0.210 0.263 0.309  0.04
O: 0.790 0.737 0.691  0.04
O: 0.309 0.790 0.737  0.03
O: 0.263 0.309 0.790  0.04
Pb: 0.251 0.749 0.251  0.00
Pb: 0.749 0.251 0.749  0.00
Te: 0.500 0.500 0.500  0.04

Excess energy over the best structure of this formula in the dataset = 0 meV per atom